4
Lattice="3.017 0.000 0.000 0.000 3.017 0.000 0.000 0.000 8.060" Properties=species:S:1:pos:R:3 comment="In2SiOs | Alexandria | PBEsol | relaxed" sg="P4/mmm, No. 123" pbc="T T T"
In 0.000 0.000 1.801
In 0.000 0.000 6.259
Si 1.509 1.509 4.030
Os 1.509 1.509 0.000

***

5
Lattice="5.576 0.000 0.000 0.000 5.576 0.000 0.000 0.000 4.938" Properties=species:S:1:pos:R:3 comment="GaTeOsI2 | Alexandria | PBEsol | relaxed" sg="P4/mmm, No. 123" pbc="T T T"
Ga 0.000 0.000 0.000
Te 2.788 2.788 0.000
Os 2.788 2.788 2.469
I 0.000 2.788 2.469
I 2.788 0.000 2.469

***

48
Lattice="5.151 0.000 0.000 0.000 8.880 0.000 -5.075 0.000 9.652" Properties=species:S:1:pos:R:3 comment="Li3TiB2O6 | Alexandria | PBEsol | relaxed" sg="P2_1/c, No. 14" pbc="T T T"
Li -0.816 0.181 1.638
Li -3.354 4.259 6.464
Li -4.212 5.877 8.486
Li -1.675 7.443 3.660
Li -0.865 0.106 5.760
Li 1.673 4.334 0.934
Li -1.596 4.546 8.717
Li 0.941 8.774 3.891
Li 1.751 1.437 5.992
Li 4.288 3.003 1.166
Li 3.430 4.621 3.188
Li 0.893 8.699 8.014
Ti -0.750 5.924 6.022
Ti 1.787 7.396 1.196
Ti -1.711 1.484 8.456
Ti 0.827 2.956 3.630
B -1.694 1.535 3.659
B -4.231 2.905 8.485
B 1.730 1.477 1.249
B -0.807 2.963 6.075
B 0.883 5.917 3.577
B -1.654 7.403 8.403
B 4.308 5.975 1.167
B 1.770 7.345 5.993
O -3.660 1.657 8.223
O -1.122 2.783 3.397
O 0.523 5.906 0.930
O -2.014 7.414 5.756
O -0.911 0.407 3.675
O -3.449 4.034 8.501
O -0.446 5.934 3.975
O -2.984 7.386 8.801
O 1.055 0.260 1.318
O -1.482 4.180 6.144
O -1.486 1.811 6.412
O 1.051 2.629 1.586
O -0.975 6.251 8.066
O 1.563 7.069 3.240
O 1.558 4.700 3.508
O -0.979 8.620 8.334
O 3.060 1.494 0.851
O 0.523 2.946 5.677
O 3.525 4.847 1.151
O 0.988 8.474 5.977
O 2.091 1.466 3.896
O -0.447 2.974 8.722
O 1.199 6.097 6.255
O 3.736 7.223 1.429

***

no.,uncorrected formation energy (eV/atom)
1,0.54
2,0.53
3,-2.42